(1)
! PBE-GGA Ba2NiAs, optimized geometry; values from VASP
! - Volume: 39.7 A^3/atom
! - Energy of formation: -515.2 meV per atom
&SYSTEM
  ibrav = 0, nat = 4, ntyp = 3
/
ATOMIC_SPECIES
Ba 137.33 Ba.upf
Ni 58.69 Ni.upf
As 74.92 As.upf
ATOMIC_POSITIONS angstrom
Ba 0.0000 0.0000 0.0000
Ba 0.0000 2.2417 4.4569
Ni 2.1637 0.0000 5.9695
As 0.0000 0.0000 6.7886
CELL_PARAMETERS angstrom
-2.1637 2.2417 8.1948
2.1637 -2.2417 8.1948
2.1637 2.2417 -8.1948

(2)
! PBE-GGA BaNiAs2, optimized geometry; values from VASP
! - Volume: 22.9 A^3/atom
! - Energy of formation: 121.0 meV per atom
&SYSTEM
  ibrav = 0, nat = 4, ntyp = 3
/
ATOMIC_SPECIES
Ba 137.33 Ba.upf
Ni 58.69 Ni.upf
As 74.92 As.upf
ATOMIC_POSITIONS angstrom
Ba 0.0000 0.0000 0.0000
Ni 3.5782 3.5782 3.5782
As 1.7891 1.7891 1.7891
As 5.3673 5.3673 5.3673
CELL_PARAMETERS angstrom
0.0000 3.5782 3.5782
3.5782 0.0000 3.5782
3.5782 3.5782 0.0000

(3)
! PBE-GGA BaNi2As, optimized geometry; values from VASP
! - Volume: 19.4 A^3/atom
! - Energy of formation: 326.3 meV per atom
&SYSTEM
  ibrav = 0, nat = 4, ntyp = 3
/
ATOMIC_SPECIES
Ba 137.33 Ba.upf
Ni 58.69 Ni.upf
As 74.92 As.upf
ATOMIC_POSITIONS angstrom
Ba 0.0000 0.0000 0.0000
Ni 1.8099 0.0000 2.3186
Ni 1.8099 2.3133 0.0000
As 0.0000 2.3133 2.3186
CELL_PARAMETERS angstrom
3.6197 0.0000 0.0000
0.0000 4.6267 0.0000
0.0000 0.0000 4.6372

(4)
! PBE-GGA BaNiAs2, optimized geometry; values from VASP
! - Volume: 26.3 A^3/atom
! - Energy of formation: -173.2 meV per atom
&SYSTEM
  ibrav = 0, nat = 4, ntyp = 3
/
ATOMIC_SPECIES
Ba 137.33 Ba.upf
Ni 58.69 Ni.upf
As 74.92 As.upf
ATOMIC_POSITIONS angstrom
Ba 0.0000 0.0000 0.0000
Ni 2.2815 0.0000 2.7354
As 0.0000 0.0000 3.5038
As 0.0000 3.1481 1.3423
CELL_PARAMETERS angstrom
-2.2815 3.1481 3.6558
2.2815 -3.1481 3.6558
2.2815 3.1481 -3.6558

(5)
! PBE-GGA BaNi2As, optimized geometry; values from VASP
! - Volume: 20.6 A^3/atom
! - Energy of formation: -434.8 meV per atom
&SYSTEM
  ibrav = 0, nat = 4, ntyp = 3
/
ATOMIC_SPECIES
Ba 137.33 Ba.upf
Ni 58.69 Ni.upf
As 74.92 As.upf
ATOMIC_POSITIONS angstrom
Ba 0.0000 0.0000 0.0000
Ni -0.0048 0.0000 3.1515
Ni 4.7837 0.0000 2.3898
As 2.3895 0.0000 2.7706
CELL_PARAMETERS angstrom
3.5916 -2.0736 0.0000
3.5916 2.0736 0.0000
-2.4043 0.0000 5.5412

(6)
! PBE-GGA Ba2NiAs, optimized geometry; values from VASP
! - Volume: 45.3 A^3/atom
! - Energy of formation: 87.7 meV per atom
&SYSTEM
  ibrav = 0, nat = 8, ntyp = 3
/
ATOMIC_SPECIES
Ba 137.33 Ba.upf
Ni 58.69 Ni.upf
As 74.92 As.upf
ATOMIC_POSITIONS angstrom
Ba 4.8893 1.5905 -2.1321
Ba 1.5905 1.6298 2.1321
Ba -1.6298 1.6690 6.3963
Ba 1.6690 1.6298 10.6605
Ni 0.0000 0.0000 0.0000
Ni 0.0000 3.2595 4.2642
As 3.2595 0.0000 4.2642
As 0.0000 0.0000 8.5284
CELL_PARAMETERS angstrom
-3.2595 3.2595 8.5284
3.2595 -3.2595 8.5284
3.2595 3.2595 -8.5284

(7)
! PBE-GGA Ba2NiAs, optimized geometry; values from VASP
! - Volume: 27.8 A^3/atom
! - Energy of formation: 22.6 meV per atom
&SYSTEM
  ibrav = 0, nat = 4, ntyp = 3
/
ATOMIC_SPECIES
Ba 137.33 Ba.upf
Ni 58.69 Ni.upf
As 74.92 As.upf
ATOMIC_POSITIONS angstrom
Ba 0.0000 0.0000 0.0000
Ba 1.9074 1.9074 1.9074
Ni 3.8148 3.8148 3.8148
As 5.7222 5.7222 5.7222
CELL_PARAMETERS angstrom
0.0000 3.8148 3.8148
3.8148 0.0000 3.8148
3.8148 3.8148 0.0000

(8)
! PBE-GGA BaNiAs2, optimized geometry; values from VASP
! - Volume: 25.9 A^3/atom
! - Energy of formation: -536.8 meV per atom
&SYSTEM
  ibrav = 0, nat = 4, ntyp = 3
/
ATOMIC_SPECIES
Ba 137.33 Ba.upf
Ni 58.69 Ni.upf
As 74.92 As.upf
ATOMIC_POSITIONS angstrom
Ba 0.0000 0.0000 0.0000
Ni 1.7081 2.2141 3.2470
As 2.2373 0.0000 2.5496
As 3.9868 2.2141 2.6036
CELL_PARAMETERS angstrom
4.4706 0.0000 0.0000
0.0000 4.4283 0.0000
-0.1016 0.0000 5.2333